Entry 1:
DFT (PBE) results for an optimized crystal structure of PaCuRh.

Structure (POSCAR):
```
PaCuRh
1.0
-3.223 -1.223 0.896
0.617 -2.982 -1.848
3.005 0.238 4.052
Pa Rh Cu
1 1 1
direct
0.625 0.625 0.250 Pa
0.279 0.279 0.558 Rh
0.946 0.946 0.892 Cu
```

* space group: I4mm
* energy of formation: -0.2781 eV per atom

=====

Entry 2:
DFT (PBE) results for an optimized crystal structure of PaCuSi2Rh.

Structure (POSCAR):
```
PaCuSi2Rh
1.0
-3.583 0.655 -1.722
1.252 -1.896 -3.327
-0.514 -3.721 4.367
Pa Si Cu Rh
1 2 1 1
direct
0.000 0.000 0.000 Pa
0.383 0.383 0.767 Si
0.617 0.617 0.233 Si
0.750 0.250 0.500 Cu
0.250 0.750 0.500 Rh
```

* space group: I-4m2
* energy relative to the elements, uncorrected: -0.709 eV per atom

=====

no.,magnetization (μB per atom),uncorrected energy (eV per atom)
1,0.000,-7.259
2,0.000,-7.067